1.
The following is a PBE calculation of an optimized crystal structure of Ce2ErPt2, from the Alexandria database.

a = 3.9038 Å, b = 7.8850 Å, c = 7.8850 Å
α = 90.00°, β = 90.00°, γ = 90.00°
Site moments in Bohr magnetons follow the coordinates.
Sites, in units of the cell vectors:
Ce  0.0000  0.6660  0.3340  0.27
Ce  0.0000  0.8340  0.8340  0.27
Ce  0.0000  0.1660  0.1660  0.27
Ce  0.0000  0.3340  0.6660  0.27
Er  0.5000  0.5000  0.0000  0.04
Er  0.5000  0.0000  0.5000  0.04
Pt  0.5000  0.3627  0.3627  -0.01
Pt  0.5000  0.8627  0.1373  -0.01
Pt  0.5000  0.1373  0.8627  -0.01
Pt  0.5000  0.6373  0.6373  -0.01

Computed properties:
DOS(E_F) (states/eV/cell): 20.831
Space-group type: P4/mbm (127)
VASP energy (eV/cell): -66.5

=====

2.
The following is a PBE calculation of an optimized crystal structure of CuIr2Rh4, from the Alexandria database.

a = 5.4027 Å, b = 5.4027 Å, c = 8.7532 Å
α = 90.00°, β = 90.00°, γ = 120.62°
Sites, in units of the cell vectors:
Ir  0.7783  0.0048  0.0000
Ir  0.2217  0.9952  0.0000
Ir  0.9952  0.2217  0.5000
Ir  0.0048  0.7783  0.5000
Rh  0.7472  0.4857  0.0000
Rh  0.2528  0.5143  0.0000
Rh  0.5143  0.2528  0.5000
Rh  0.4857  0.7472  0.5000
Rh  0.0000  0.5000  0.7345
Rh  0.5000  0.0000  0.7655
Rh  0.0000  0.5000  0.2655
Rh  0.5000  0.0000  0.2345
Cu  0.5000  0.5000  0.7500
Cu  0.5000  0.5000  0.2500

Computed properties:
DOS(E_F) (states/eV/cell): 25.424
Distance to the lowest polymorph of the same formula (eV/f.u.): 0.74
Space-group type: Cccm (66)
VASP energy (eV/cell): -96.8

=====

3.
The following is a PBE calculation of an optimized crystal structure of CaAlGa2, from the Alexandria database.

a = 3.5078 Å, b = 3.5078 Å, c = 6.7561 Å
α = 90.00°, β = 90.00°, γ = 90.00°
Sites, in units of the cell vectors:
Ca  0.5000  0.5000  0.5000
Al  0.5000  0.5000  0.0000
Ga  0.0000  0.0000  0.8008
Ga  0.0000  0.0000  0.1992

Computed properties:
DOS(E_F) (states/eV/cell): 1.750
Space-group type: P4/mmm (123)
VASP energy (eV/cell): -12.8

=====

4.
The following is a PBE calculation of an optimized crystal structure of Sr2Ni3Ge4Pt, from the Alexandria database.

a = 4.2341 Å, b = 4.2341 Å, c = 10.1689 Å
α = 90.00°, β = 90.00°, γ = 90.00°
Sites, in units of the cell vectors:
Sr  0.5000  0.0000  0.2444
Sr  0.0000  0.5000  0.7556
Ni  0.0000  0.0000  0.5000
Ni  0.5000  0.0000  0.8775
Ni  0.0000  0.5000  0.1225
Ge  0.5000  0.5000  0.0000
Ge  0.0000  0.0000  0.0000
Ge  0.5000  0.0000  0.6330
Ge  0.0000  0.5000  0.3670
Pt  0.5000  0.5000  0.5000

Computed properties:
DOS(E_F) (states/eV/cell): 4.626
Space-group type: P-4m2 (115)
VASP energy (eV/cell): -50.8

=====

5.
The following is a PBE calculation of an optimized crystal structure of Rb2SnHgGe, from the Alexandria database.

a = 6.9018 Å, b = 5.2249 Å, c = 6.9018 Å
α = 90.00°, β = 90.00°, γ = 90.00°
Sites, in units of the cell vectors:
Ge  0.0000  0.0000  0.0000
Hg  0.5000  0.5000  0.5000
Rb  0.0000  0.0000  0.5000
Rb  0.5000  0.0000  0.0000
Sn  0.0000  0.5000  0.0000

Computed properties:
DOS(E_F) (states/eV/cell): 2.632
Space-group type: P4/mmm (123)
VASP energy (eV/cell): -10.9

=====

6.
The following is a PBE calculation of an optimized crystal structure of La2CuAsN, from the Alexandria database.

a = 5.1387 Å, b = 5.1387 Å, c = 3.9218 Å
α = 90.00°, β = 90.00°, γ = 90.00°
Sites, in units of the cell vectors:
As  0.5000  0.5000  0.5000
N  0.0000  0.0000  0.0000
Cu  0.0000  0.0000  0.5000
La  0.0000  0.5000  0.0000
La  0.5000  0.0000  0.0000

Computed properties:
E_form (uncorrected) (kJ/mol of formula units): -469
DOS(E_F) (states/eV/cell): 1.800
Space-group type: P4/mmm (123)
VASP energy (eV/cell): -31.8

=====

7.
The following is a PBE calculation of an optimized crystal structure of Ca2AlOs, from the Alexandria database.

a = 9.9531 Å, b = 9.9531 Å, c = 9.9531 Å
α = 18.83°, β = 18.83°, γ = 18.83°
Sites, in units of the cell vectors:
Ca  0.9912  0.9912  0.9912
Ca  0.5088  0.5088  0.5088
Os  0.2500  0.2500  0.2500
Al  0.7500  0.7500  0.7500

Computed properties:
DOS(E_F) (states/eV/cell): 3.531
Space-group type: R-3m (166)
VASP energy (eV/cell): -17.1

=====

8.
The following is a PBE calculation of an optimized crystal structure of Nd2Sm3Y4, from the Alexandria database.

a = 3.6059 Å, b = 6.2119 Å, c = 15.8545 Å
α = 62.91°, β = 83.47°, γ = 73.13°
Sites, in units of the cell vectors:
Nd  0.8640  0.7059  0.5661
Nd  0.1360  0.2941  0.4339
Sm  0.0000  0.0000  0.0000
Sm  0.5712  0.6419  0.2156
Sm  0.4288  0.3581  0.7844
Y  0.8518  0.9771  0.3193
Y  0.1482  0.0229  0.6807
Y  0.7162  0.6752  0.8925
Y  0.2838  0.3248  0.1075

Computed properties:
DOS(E_F) (states/eV/cell): 14.108
Distance to the lowest polymorph of the same formula (eV/f.u.): 0.00
Space-group type: C2/m (12)
VASP energy (eV/cell): -48.9

=====

9.
The following is a PBE calculation of an optimized crystal structure of ErMn2B4, from the Alexandria database.

a = 3.0579 Å, b = 3.2593 Å, c = 7.3388 Å
α = 102.83°, β = 102.02°, γ = 90.00°
Site moments in Bohr magnetons follow the coordinates.
Sites, in units of the cell vectors:
B  0.6525  0.6525  0.3049  -0.07
B  0.3475  0.3475  0.6951  -0.07
B  0.0949  0.5949  0.1897  -0.03
B  0.9051  0.4051  0.8103  -0.03
Mn  0.8082  0.8082  0.6165  2.05
Mn  0.1918  0.1918  0.3835  2.05
Er  0.5000  0.0000  0.0000  -0.15

Computed properties:
DOS(E_F) (states/eV/cell): 3.875
Space-group type: Immm (71)
VASP energy (eV/cell): -52.5

=====

10.
The following is a PBE calculation of an optimized crystal structure of NdZnNi2, from the Alexandria database.

a = 4.8256 Å, b = 5.2602 Å, c = 11.8924 Å
α = 90.00°, β = 90.00°, γ = 90.00°
Sites, in units of the cell vectors:
Nd  0.0000  0.2500  0.5927
Nd  0.5000  0.7500  0.1118
Nd  0.0000  0.7500  0.4073
Nd  0.5000  0.2500  0.8882
Zn  0.5000  0.7500  0.6789
Zn  0.5000  0.2500  0.3211
Zn  0.0000  0.2500  0.3031
Zn  0.0000  0.7500  0.6969
Ni  0.0000  0.0000  0.0000
Ni  0.5000  0.5000  0.5000
Ni  0.2547  0.7500  0.8673
Ni  0.7453  0.2500  0.1327
Ni  0.7453  0.7500  0.8673
Ni  0.2547  0.2500  0.1327
Ni  0.0000  0.5000  0.0000
Ni  0.5000  0.0000  0.5000

Computed properties:
DOS(E_F) (states/eV/cell): 12.792
Space-group type: Pmma (51)
VASP energy (eV/cell): -72.4

=====

11.
The following is a PBE calculation of an optimized crystal structure of CaNdDyAl, from the Alexandria database.

a = 5.4530 Å, b = 5.4530 Å, c = 5.4530 Å
α = 60.00°, β = 60.00°, γ = 60.00°
Sites, in units of the cell vectors:
Ca  0.2500  0.2500  0.2500
Nd  0.0000  0.0000  0.0000
Al  0.7500  0.7500  0.7500
Dy  0.5000  0.5000  0.5000

Computed properties:
DOS(E_F) (states/eV/cell): 2.981
Space-group type: F-43m (216)
VASP energy (eV/cell): -15.4

=====

12.
The following is a PBE calculation of an optimized crystal structure of Zr2ZnBr, from the Alexandria database.

a = 5.4511 Å, b = 5.4511 Å, c = 4.7843 Å
α = 89.86°, β = 89.86°, γ = 34.37°
Sites, in units of the cell vectors:
Br  0.4729  0.4729  0.6246
Zn  0.2733  0.2733  0.1255
Zr  0.0132  0.0132  0.1244
Zr  0.7405  0.7405  0.6255

Computed properties:
E_form (uncorrected) (kJ/mol of formula units): -63
DOS(E_F) (states/eV/cell): 3.484
Distance to the lowest polymorph of the same formula (eV/f.u.): 0.57
Space-group type: Cm (8)
VASP energy (eV/cell): -20.7

=====

> What is the VASP energy in the third record?

-12.8 eV/cell

=====

> What is the VASP energy in the seventh record?

-17.1 eV/cell

=====

> VASP energy of number 11 (CaNdDyAl)?

-15.4 eV/cell

=====

> Which value of DOS(E_F) does entry 10 give?

12.792 states/eV/cell